Record 1
A plane-wave DFT calculation with PBE-GGA was carried out for a geometry-optimized ThPaHg4 structure.

Calculated values
* DFT formation energy: 0.08 eV/atom
* spin magnetization: 2.7 μB per cell
* offset from the most stable computed form: 0.184 eV per atom

Geometry as extended XYZ:
```
6
Lattice="0.000 4.235 4.235 4.235 0.000 4.235 4.235 4.235 0.000" Properties=species:S:1:pos:R:3 pbc="T T T"
Th 0.000 0.000 0.000
Pa 2.117 2.117 2.117
Hg 5.291 3.178 3.178
Hg 3.178 5.291 3.178
Hg 3.178 3.178 5.291
Hg 5.291 5.291 5.291
```

***

Record 2
A plane-wave DFT calculation with PBE-GGA was carried out for a geometry-optimized ThPaHg4 structure.

Calculated values
* DFT formation energy: -0.10 eV/atom
* spin magnetization: 0.6 μB per cell
* offset from the most stable computed form: 0.000 eV per atom

Geometry as extended XYZ:
```
6
Lattice="4.179 -4.389 0.000 4.179 4.389 0.000 -3.038 0.000 4.029" Properties=species:S:1:pos:R:3 pbc="T T T"
Th 0.000 0.000 0.000
Pa 2.661 0.000 2.015
Hg -0.144 1.462 3.055
Hg -0.144 -1.462 3.055
Hg 5.466 1.462 0.975
Hg 5.466 -1.462 0.975
```

***

Record 3
A plane-wave DFT calculation with PBE-GGA was carried out for a geometry-optimized Th2PaHg6 structure.

Calculated values
* DFT formation energy: -0.15 eV/atom
* spin magnetization: 1.4 μB per cell

Geometry as extended XYZ:
```
9
Lattice="8.833 0.000 0.000 -4.416 7.649 0.000 0.000 0.000 3.322" Properties=species:S:1:pos:R:3 pbc="T T T"
Th 0.000 5.100 0.000
Th 4.416 2.550 0.000
Pa 0.000 0.000 0.000
Hg -1.464 2.536 1.661
Hg -2.952 5.114 1.661
Hg 2.928 0.000 1.661
Hg 1.464 2.536 1.661
Hg 5.905 0.000 1.661
Hg 2.952 5.114 1.661
```

***

Record 4
A plane-wave DFT calculation with PBE-GGA was carried out for a geometry-optimized Th2PaHg structure.

Calculated values
* DFT formation energy: 0.25 eV/atom
* spin magnetization: 0.0 μB per cell
* offset from the most stable computed form: 0.318 eV per atom

Geometry as extended XYZ:
```
4
Lattice="1.654 0.955 12.030 -1.654 0.955 12.030 0.000 -1.910 12.030" Properties=species:S:1:pos:R:3 pbc="T T T"
Th 0.000 0.000 3.236
Th 0.000 0.000 32.855
Pa 0.000 0.000 0.000
Hg 0.000 0.000 18.046
```

***

Record 5
A plane-wave DFT calculation with PBE-GGA was carried out for a geometry-optimized ThPaHg2 structure.

Calculated values
* DFT formation energy: 0.08 eV/atom
* spin magnetization: 1.4 μB per cell
* offset from the most stable computed form: 0.126 eV per atom

Geometry as extended XYZ:
```
4
Lattice="0.000 3.778 3.778 3.778 0.000 3.778 3.778 3.778 0.000" Properties=species:S:1:pos:R:3 pbc="T T T"
Th 0.000 0.000 0.000
Pa 3.778 3.778 3.778
Hg 1.889 1.889 1.889
Hg 5.667 5.667 5.667
```

***

Record 6
A plane-wave DFT calculation with PBE-GGA was carried out for a geometry-optimized Th2PaHg structure.

Calculated values
* DFT formation energy: 0.04 eV/atom
* spin magnetization: 0.0 μB per cell
* offset from the most stable computed form: 0.101 eV per atom

Geometry as extended XYZ:
```
4
Lattice="3.966 0.000 0.000 0.000 3.966 0.000 0.000 0.000 7.154" Properties=species:S:1:pos:R:3 pbc="T T T"
Th 0.000 0.000 1.772
Th 0.000 0.000 5.382
Pa 1.983 1.983 0.000
Hg 1.983 1.983 3.577
```

***

Record 7
A plane-wave DFT calculation with PBE-GGA was carried out for a geometry-optimized Th2PaHg structure.

Calculated values
* DFT formation energy: 0.18 eV/atom
* spin magnetization: 0.0 μB per cell
* offset from the most stable computed form: 0.248 eV per atom

Geometry as extended XYZ:
```
4
Lattice="0.000 3.832 3.832 3.832 0.000 3.832 3.832 3.832 0.000" Properties=species:S:1:pos:R:3 pbc="T T T"
Th 1.916 1.916 1.916
Th 5.748 5.748 5.748
Pa 0.000 0.000 0.000
Hg 3.832 3.832 3.832
```

***

Record 8
A plane-wave DFT calculation with PBE-GGA was carried out for a geometry-optimized ThPaHg2 structure.

Calculated values
* DFT formation energy: -0.05 eV/atom
* spin magnetization: 0.9 μB per cell
* offset from the most stable computed form: 0.000 eV per atom

Geometry as extended XYZ:
```
4
Lattice="3.327 0.000 0.000 0.000 3.327 0.000 0.000 0.000 9.313" Properties=species:S:1:pos:R:3 pbc="T T T"
Th 0.000 0.000 0.000
Pa 0.000 0.000 4.657
Hg 1.664 1.664 2.392
Hg 1.664 1.664 6.921
```

***

Record 9
A plane-wave DFT calculation with PBE-GGA was carried out for a geometry-optimized ThPaHg2 structure.

Calculated values
* DFT formation energy: -0.04 eV/atom
* spin magnetization: 0.0 μB per cell
* offset from the most stable computed form: 0.012 eV per atom

Geometry as extended XYZ:
```
4
Lattice="4.701 0.000 0.000 0.000 4.701 0.000 0.000 0.000 4.645" Properties=species:S:1:pos:R:3 pbc="T T T"
Th 0.000 0.000 0.000
Pa 2.351 2.351 0.000
Hg 0.000 2.351 2.323
Hg 2.351 0.000 2.323
```

***

Record 10
A plane-wave DFT calculation with PBE-GGA was carried out for a geometry-optimized PaTi2Hg structure.

Calculated values
* DFT formation energy: 0.04 eV/atom
* spin magnetization: 0.0 μB per cell
* offset from the most stable computed form: 0.006 eV per atom

Geometry as extended XYZ:
```
4
Lattice="3.435 0.000 0.000 0.000 3.435 0.000 0.000 0.000 6.636" Properties=species:S:1:pos:R:3 pbc="T T T"
Pa 0.000 0.000 0.000
Ti 1.718 1.718 1.560
Ti 1.718 1.718 5.075
Hg 0.000 0.000 3.318
```

***

Record 11
A plane-wave DFT calculation with PBE-GGA was carried out for a geometry-optimized PaTi2Hg structure.

Calculated values
* DFT formation energy: 0.17 eV/atom
* spin magnetization: 1.1 μB per cell
* offset from the most stable computed form: 0.143 eV per atom

Geometry as extended XYZ:
```
4
Lattice="0.000 3.395 3.395 3.395 0.000 3.395 3.395 3.395 0.000" Properties=species:S:1:pos:R:3 pbc="T T T"
Pa 0.000 0.000 0.000
Ti 1.698 1.698 1.698
Ti 5.093 5.093 5.093
Hg 3.395 3.395 3.395
```

***

Record 12
A plane-wave DFT calculation with PBE-GGA was carried out for a geometry-optimized Pa3Ti5Hg12 structure.

Calculated values
* DFT formation energy: 0.64 eV/atom
* spin magnetization: 17.6 μB per cell

Geometry as extended XYZ:
```
80
Lattice="-8.264 8.264 8.264 8.264 -8.264 8.264 8.264 8.264 -8.264" Properties=species:S:1:pos:R:3 pbc="T T T"
Pa 4.132 2.066 0.000
Pa 8.264 4.132 -2.066
Pa 2.066 0.000 4.132
Pa 10.330 0.000 4.132
Pa 0.000 4.132 2.066
Pa 4.132 -2.066 8.264
Pa 4.132 10.330 0.000
Pa 8.264 4.132 6.198
Pa -2.066 8.264 4.132
Pa 6.198 8.264 4.132
Pa 0.000 4.132 10.330
Pa 4.132 6.198 8.264
Ti 0.000 0.000 0.000
Ti 4.132 4.132 -4.132
Ti 4.132 -4.132 4.132
Ti 8.264 0.000 0.000
Ti 12.396 2.066 0.000
Ti 8.264 -4.132 6.198
Ti 6.198 8.264 -4.132
Ti 6.198 0.000 4.132
Ti 4.132 6.198 0.000
Ti 8.264 4.132 2.066
Ti -4.132 4.132 4.132
Ti 0.000 8.264 0.000
Ti 0.000 0.000 8.264
Ti 4.132 4.132 4.132
Ti 0.000 4.132 6.198
Ti 4.132 2.066 8.264
Ti 2.066 8.264 4.132
Ti 2.066 0.000 12.396
Ti 0.000 12.396 2.066
Ti -4.132 6.198 8.264
Hg 2.453 -0.318 1.124
Hg 9.943 5.256 -4.450
Hg 7.945 -1.124 2.453
Hg 12.714 -1.679 3.007
Hg 10.717 0.318 1.124
Hg 9.943 -3.007 4.450
Hg 1.124 2.453 -0.318
Hg 11.271 3.813 -1.679
Hg 5.256 4.450 -1.679
Hg 7.139 2.453 0.318
Hg -0.318 1.124 2.453
Hg 4.450 -1.679 5.256
Hg 7.945 7.139 -2.453
Hg 4.450 1.679 3.007
Hg 7.139 -2.453 7.945
Hg 5.256 -4.450 9.943
Hg 3.007 4.450 1.679
Hg 9.388 5.811 0.318
Hg 2.453 7.945 -1.124
Hg 9.943 3.007 3.813
Hg 4.450 9.943 -3.007
Hg 7.945 1.124 5.811
Hg 1.679 3.007 4.450
Hg 2.453 0.318 7.139
Hg 5.811 7.945 1.124
Hg 6.585 5.256 3.813
Hg 0.318 7.139 2.453
Hg 3.813 -1.679 11.271
Hg -1.679 5.256 4.450
Hg 5.811 0.318 9.388
Hg -1.124 2.453 7.945
Hg 5.256 3.813 6.585
Hg 3.007 12.714 -1.679
Hg 1.124 10.717 0.318
Hg 3.813 6.585 5.256
Hg 0.318 1.124 10.717
Hg 3.813 9.943 3.007
Hg 8.582 7.139 5.811
Hg 1.124 5.811 7.945
Hg 3.007 3.813 9.943
Hg -3.007 4.450 9.943
Hg 7.139 5.811 8.582
Hg -1.679 11.271 3.813
Hg -2.453 7.945 7.139
Hg -4.450 9.943 5.256
Hg 0.318 9.388 5.811
Hg -1.679 3.007 12.714
Hg 5.811 8.582 7.139
```